VASP calculation (PBE-GGA) on an optimized crystal structure of Cs3Ag2HgI6.

Output
Crystal system: trigonal
Formation energy without anion corrections (meV/atom): -793.3
SG: P-3m1

Cell lengths 9.136, 9.136, 9.769 Å; angles 90.00, 90.00, 120.00 degrees
Positions (direct):
Cs 0.000 0.000 0.000
Cs 0.333 0.667 0.627
Cs 0.667 0.333 0.373
Ag 0.333 0.667 0.243
Ag 0.667 0.333 0.757
Hg 0.000 0.000 0.500
I 0.163 0.325 0.294
I 0.163 0.837 0.294
I 0.325 0.163 0.706
I 0.675 0.837 0.294
I 0.837 0.163 0.706
I 0.837 0.675 0.706

VASP calculation (PBE-GGA) on an optimized crystal structure of KTe2P2.

Output
Crystal system: tetragonal
Formation energy without anion corrections (meV/atom): -0.9
SG: I4/mmm

Cell lengths 7.884, 7.884, 7.884 Å; angles 146.32, 146.32, 48.37 degrees
Positions (direct):
K 0.000 0.000 0.000
Te 0.250 0.750 0.500
Te 0.750 0.250 0.500
P 0.431 0.431 0.000
P 0.569 0.569 0.000